! CaNdV4O12, relaxed, DFT PBE with a Hubbard U; values from VASP
! Mass density, g/cm³: 4.1
! Calculated total energy, eV/atom: -7.538
! Size of the total moment, Bohr magnetons per cell: 1.0
&SYSTEM
  ibrav = 0, nat = 18, ntyp = 4
/
ATOMIC_SPECIES
Ca 40.08 Ca.upf
Nd 144.24 Nd.upf
V 50.94 V.upf
O 16.00 O.upf
ATOMIC_POSITIONS crystal
Ca 0.4620 0.5380 0.0000
Nd 0.9662 0.0338 0.5000
V 0.9596 0.5306 0.7504
V 0.9596 0.5306 0.2496
V 0.4694 0.0404 0.2496
V 0.4694 0.0404 0.7504
O 0.3288 0.2621 0.7473
O 0.7379 0.6712 0.7473
O 0.7379 0.6712 0.2527
O 0.3288 0.2621 0.2527
O 0.7874 0.2126 0.7756
O 0.1993 0.8007 0.7056
O 0.1993 0.8007 0.2944
O 0.7874 0.2126 0.2244
O 0.0623 0.5247 0.0000
O 0.0134 0.4393 0.5000
O 0.4753 0.9377 0.0000
O 0.5607 0.9866 0.5000
CELL_PARAMETERS angstrom
-0.5156 2.4429 -5.2979
-3.6127 3.2180 3.3006
5.3046 4.4025 1.5138